{
  "formula": "Sn2PSe",
  "functional": "GGA-PBE",
  "state": "relaxed",
  "m_tot_mub_per_atom": 0.0000,
  "dos_ef_per_ev_cell": 2.2,
  "e_form_raw_ev_per_atom": -0.1443,
  "lattice": [[1.974, 1.140, 7.499], [-1.974, 1.140, 7.499], [0.000, -2.279, 7.499]],
  "species": ["Sn", "Sn", "P", "Se"],
  "fractional_positions": [[0.000, 0.000, 0.000], [0.187, 0.187, 0.187], [0.601, 0.601, 0.601], [0.780, 0.780, 0.780]]
}